(1)
# YBeCd2 | Alexandria | PBE | optimized geometry
data_YBeCd2
_chemical_formula_sum 'Y1 Be1 Cd2'
_space_group_name_H-M_alt 'P m m m'
_space_group_IT_number 47
_cell_length_a 4.2226
_cell_length_b 4.2933
_cell_length_c 4.7183
_cell_angle_alpha 90.00
_cell_angle_beta 90.00
_cell_angle_gamma 90.00
loop_
_space_group_symop_operation_xyz
'x,y,z'
'-x,-y,-z'
'-x,-y,z'
'x,y,-z'
'x,-y,-z'
'-x,y,z'
'-x,y,-z'
'x,-y,z'
loop_
_atom_site_label
_atom_site_type_symbol
_atom_site_fract_x
_atom_site_fract_y
_atom_site_fract_z
Y1 Y 0.0000 0.0000 0.0000
Be1 Be 0.5000 0.5000 0.0000
Cd1 Cd 0.0000 0.5000 0.5000
Cd2 Cd 0.5000 0.0000 0.5000
# Energy relative to the elements ... 62.2 meV per atom
# V ... 86 Å³/cell
# Raw total energy ... -0.216 Ry/atom



(2)
# MgTi | Alexandria | PBE | optimized geometry
data_MgTi
_chemical_formula_sum 'Mg8 Ti8'
_space_group_name_H-M_alt 'I 4/m m m'
_space_group_IT_number 139
_space_group_name_Hall '-I 4 2'
_cell_length_a 10.3407
_cell_length_b 10.3407
_cell_length_c 3.1031
_cell_angle_alpha 90.00
_cell_angle_beta 90.00
_cell_angle_gamma 90.00
loop_
_atom_site_label
_atom_site_type_symbol
_atom_site_fract_x
_atom_site_fract_y
_atom_site_fract_z
Mg1 Mg 0.0000 0.3325 0.0000
Ti1 Ti 0.1691 0.1691 0.5000
# Energy relative to the elements ... 387.9 meV per atom
# V ... 332 Å³/cell
# Raw total energy ... -0.320 Ry/atom



(3)
# Sr3Sm2PuN6 | Alexandria | PBE | optimized geometry
data_Sr3Sm2PuN6
_chemical_formula_sum 'Sr6 Sm4 Pu2 N12'
_space_group_name_H-M_alt 'C 1 2/m 1'
_space_group_IT_number 12
_cell_length_a 6.2280
_cell_length_b 10.7901
_cell_length_c 6.3699
_cell_angle_alpha 90.00
_cell_angle_beta 109.12
_cell_angle_gamma 90.00
loop_
_space_group_symop_operation_xyz
'x,y,z'
'-x,-y,-z'
'-x,y,-z'
'x,-y,z'
'x+1/2,y+1/2,z'
'-x+1/2,-y+1/2,-z'
'-x+1/2,y+1/2,-z'
'x+1/2,-y+1/2,z'
loop_
_atom_site_label
_atom_site_type_symbol
_atom_site_fract_x
_atom_site_fract_y
_atom_site_fract_z
Sr1 Sr 0.0000 0.0000 0.0000
Sr2 Sr 0.0000 0.3342 0.0000
Sm1 Sm 0.0000 0.1671 0.5000
Pu1 Pu 0.0000 0.5000 0.5000
N1 N 0.2200 0.3491 0.7078
N2 N 0.2300 0.5000 0.2965
# Raw formation energy ... -1.0738 eV/atom
# V ... 404 Å³/cell
# Raw total energy ... -0.561 Ry/atom